## K2NaHgPd (PBE)

Data for a geometry-optimized K2NaHgPd structure.

Cell and atoms, written as CIF:
```
data_K2NaHgPd
_cell_length_a 6.4152
_cell_length_b 6.4152
_cell_length_c 5.0471
_cell_angle_alpha 90.00
_cell_angle_beta 90.00
_cell_angle_gamma 90.00
_symmetry_space_group_name_H-M 'P 4/m m m'
_symmetry_Int_Tables_number 123
_symmetry_space_group_name_Hall '-P 4 2'
loop_
_atom_site_label
_atom_site_type_symbol
_atom_site_fract_x
_atom_site_fract_y
_atom_site_fract_z
_atom_site_occupancy
K1 K 0.0000 0.5000 0.0000 1
Na1 Na 0.0000 0.0000 0.0000 1
Hg1 Hg 0.5000 0.5000 0.5000 1
Pd1 Pd 0.0000 0.0000 0.5000 1
```

Results
ΔH_f (0 K) (eV/atom): 0.220
DOS at the Fermi energy (states/eV per atom): 0.533
Distance to the lowest polymorph of the same formula (meV/atom): 249
Size of the total moment (μB per cell): 0.0